KMnAl2 | the Alexandria database | PBE-GGA | optimized geometry; volume = 92 Å³ per cell; SG = No. 25
1.0
-1.891 -2.128 0.473
0.408 -1.196 -3.751
6.008 -4.849 2.199
K Al Mn
1 2 1
Direct
0.000 0.000 0.507
0.000 0.000 0.970
0.500 0.500 0.171
0.500 0.500 0.853

KMn2Al | the Alexandria database | PBE-GGA | optimized geometry; volume = 82 Å³ per cell; SG = No. 166
1.0
-3.804 -8.149 -5.180
-4.615 -8.987 -2.378
-6.402 -7.132 -3.984
Mn K Al
2 1 1
Direct
0.018 0.018 0.018
0.482 0.482 0.482
0.250 0.250 0.250
0.750 0.750 0.750

KMn2Al | the Alexandria database | PBE-GGA | optimized geometry; volume = 85 Å³ per cell; SG = No. 8
1.0
4.200 0.044 0.021
3.212 2.708 0.021
0.579 0.215 7.613
Mn K Al
2 1 1
Direct
0.980 0.980 0.117
0.252 0.252 0.221
0.748 0.748 0.759
0.520 0.520 0.402

KMn2Al | the Alexandria database | PBE-GGA | optimized geometry; volume = 83 Å³ per cell; SG = No. 44
1.0
6.182 0.099 -0.032
3.082 5.360 0.032
-3.755 -4.217 2.518
K Al Mn
1 1 2
Direct
0.252 0.752 0.500
0.541 0.541 0.000
0.958 0.958 0.000
0.749 0.249 0.500

| no. | formation energy (eV per atom) | raw total energy (eV per atom) |
| --- | --- | --- |
| 1 | 0.33 | -4.1049 |
| 2 | 0.69 | -5.1052 |
| 3 | 0.49 | -5.3068 |
| 4 | 0.75 | -5.0459 |